No. 1
Entry from Alexandria via LeMat-Bulk: GaRe after structural relaxation (GGA-PBE).

The space group is P2_12_12_1 (No. 19) and the conventional cell measures 4.930, 6.746 and 8.039 Å, with angles of 90.00, 90.00 and 90.00 degrees. The distinct sites, in fractional coordinates, are Ga at (0.139, 0.020, 0.258), Ga at (0.154, 0.319, 0.551), Re at (0.135, 0.606, 0.772) and Re at (0.151, 0.322, 0.971).

The total DFT energy (no corrections) is -0.551 Ry per atom. For the total magnetization, the calculation gives 0.0 Bohr magnetons per cell. The calculated formation energy is 23 kJ per mole of atoms. The density of states at the Fermi level comes out at 0.48 states/eV per atom.


No. 2
Entry from Alexandria via LeMat-Bulk: Li2Bi2Pt after structural relaxation (GGA-PBE).

The space group is P4/mbm (No. 127) and the conventional cell measures 6.811, 6.811 and 4.302 Å, with angles of 90.00, 90.00 and 90.00 degrees. The distinct sites, in fractional coordinates, are Li at (0.141, 0.359, 0.000), Bi at (0.175, 0.675, 0.500) and Pt at (0.000, 0.000, 0.000).

The total DFT energy (no corrections) is -0.277 Ry per atom. For the total magnetization, the calculation gives 0.0 Bohr magnetons per cell. The energy relative to the lowest polymorph listed for this composition comes out at 41 meV/atom. The calculated formation energy is -23 kJ per mole of atoms. The density of states at the Fermi level comes out at 0.24 states/eV per atom.


No. 3
Entry from Alexandria via LeMat-Bulk: SrMnCr2 after structural relaxation (GGA-PBE).

The space group is Immm (No. 71) and the conventional cell measures 3.949, 5.506 and 8.110 Å, with angles of 90.00, 90.00 and 90.00 degrees. The distinct sites, in fractional coordinates, are Sr at (0.000, 0.000, 0.000), Mn at (0.000, 0.000, 0.500) and Cr at (0.000, 0.500, 0.192).

The total DFT energy (no corrections) is -0.490 Ry per atom. For the total magnetization, the calculation gives 8.8 Bohr magnetons per cell. The energy relative to the lowest polymorph listed for this composition comes out at 302 meV/atom. The calculated formation energy is 83 kJ per mole of atoms. The density of states at the Fermi level comes out at 0.90 states/eV per atom.


No. 4
Entry from Alexandria via LeMat-Bulk: CoSi2Os after structural relaxation (GGA-PBE).

The space group is P4mm (No. 99) and the conventional cell measures 3.080, 3.080 and 5.253 Å, with angles of 90.00, 90.00 and 90.00 degrees. The distinct sites, in fractional coordinates, are Co at (0.000, 0.000, 0.000), Si at (0.000, 0.000, 0.563), Si at (0.500, 0.500, 0.845) and Os at (0.500, 0.500, 0.357).

The total DFT energy (no corrections) is -0.560 Ry per atom. For the total magnetization, the calculation gives 0.0 Bohr magnetons per cell. The density of states at the Fermi level comes out at 0.69 states/eV per atom.


No. 5
Entry from Alexandria via LeMat-Bulk: RbGaF3 after structural relaxation (GGA-PBE).

The space group is I-4m2 (No. 119) and the conventional cell measures 4.335, 4.335 and 22.262 Å, with angles of 90.00, 90.00 and 90.00 degrees. The distinct sites, in fractional coordinates, are Rb at (0.000, 0.000, 0.000), Rb at (0.000, 0.500, 0.250), Ga at (0.000, 0.500, 0.638), F at (0.000, 0.000, 0.320) and F at (0.000, 0.249, 0.111).

The total DFT energy (no corrections) is -0.264 Ry per atom. For the total magnetization, the calculation gives 2.2 Bohr magnetons per cell. The density of states at the Fermi level comes out at 0.23 states/eV per atom.


No. 6
Entry from Alexandria via LeMat-Bulk: Er4CoRu3 after structural relaxation (GGA-PBE).

The space group is P4/mmm (No. 123) and the conventional cell measures 3.367, 3.367 and 13.325 Å, with angles of 90.00, 90.00 and 90.00 degrees. The distinct sites, in fractional coordinates, are Er at (0.000, 0.000, 0.123), Er at (0.000, 0.000, 0.374), Co at (0.500, 0.500, 0.000), Ru at (0.500, 0.500, 0.245) and Ru at (0.500, 0.500, 0.500).

The total DFT energy (no corrections) is -0.514 Ry per atom. For the total magnetization, the calculation gives 0.5 Bohr magnetons per cell. The calculated formation energy is -34 kJ per mole of atoms. The density of states at the Fermi level comes out at 0.97 states/eV per atom.


No. 7
Entry from Alexandria via LeMat-Bulk: Nb12Zn3Pt after structural relaxation (GGA-PBE).

The space group is Pmmm (No. 47) and the conventional cell measures 5.196, 5.197 and 10.363 Å, with angles of 90.00, 90.00 and 90.00 degrees. The distinct sites, in fractional coordinates, are Nb at (0.000, 0.000, 0.122), Nb at (0.000, 0.000, 0.373), Nb at (0.249, 0.500, 0.251), Nb at (0.500, 0.251, 0.000), Nb at (0.500, 0.252, 0.500), Zn at (0.000, 0.500, 0.500), Zn at (0.500, 0.000, 0.250) and Pt at (0.000, 0.500, 0.000).

The total DFT energy (no corrections) is -0.609 Ry per atom. For the total magnetization, the calculation gives 0.0 Bohr magnetons per cell. The calculated formation energy is -12 kJ per mole of atoms. The density of states at the Fermi level comes out at 1.22 states/eV per atom.


No. 8
Entry from Alexandria via LeMat-Bulk: Ca5Sn4Pb after structural relaxation (GGA-PBE).

The space group is P4/mmm (No. 123) and the conventional cell measures 3.917, 3.917 and 19.079 Å, with angles of 90.00, 90.00 and 90.00 degrees. The distinct sites, in fractional coordinates, are Ca at (0.000, 0.000, 0.000), Ca at (0.000, 0.000, 0.197), Ca at (0.000, 0.000, 0.394), Sn at (0.500, 0.500, 0.098), Sn at (0.500, 0.500, 0.296) and Pb at (0.500, 0.500, 0.500).

The total DFT energy (no corrections) is -0.260 Ry per atom. For the total magnetization, the calculation gives 0.0 Bohr magnetons per cell. The calculated formation energy is -54 kJ per mole of atoms. The density of states at the Fermi level comes out at 0.59 states/eV per atom.


No. 9
Entry from Alexandria via LeMat-Bulk: Pa13Co2 after structural relaxation (GGA-PBE).

The space group is P-1 (No. 2) and the conventional cell measures 6.092, 7.842 and 8.243 Å, with angles of 114.31, 99.83 and 95.96 degrees. The distinct sites, in fractional coordinates, are Pa at (0.000, 0.000, 0.000), Pa at (0.077, 0.435, 0.297), Pa at (0.194, 0.319, 0.893), Pa at (0.218, 0.884, 0.548), Pa at (0.306, 0.717, 0.115), Pa at (0.369, 0.377, 0.596), Pa at (0.481, 0.785, 0.824) and Co at (0.197, 0.043, 0.324).

The total DFT energy (no corrections) is -0.674 Ry per atom. For the total magnetization, the calculation gives 0.0 Bohr magnetons per cell. The calculated formation energy is 1 kJ per mole of atoms. The density of states at the Fermi level comes out at 2.06 states/eV per atom.


No. 10
Entry from Alexandria via LeMat-Bulk: Pr12SmCd7 after structural relaxation (GGA-PBE).

The space group is R-3 (No. 148, hexagonal axes) and the conventional cell measures 12.2163, 12.2163 and 14.7616 Å, with angles of 90.00, 90.00 and 120.00 degrees. The distinct sites, in fractional coordinates, are Pr at (0.0073, 0.5704, 0.2113), Pr at (0.0331, 0.8499, 0.3046), Sm at (0.0000, 0.0000, 0.0000), Cd at (0.0000, 0.0000, 0.5000) and Cd at (0.0634, 0.4747, 0.5788).

The total DFT energy (no corrections) is -0.259 Ry per atom. For the total magnetization, the calculation gives 0.0 Bohr magnetons per cell. The calculated formation energy is -10 kJ per mole of atoms. The density of states at the Fermi level comes out at 1.34 states/eV per atom.


No. 11
Entry from Alexandria via LeMat-Bulk: Sm3CdGa2 after structural relaxation (GGA-PBE).

The space group is P4/mmm (No. 123) and the conventional cell measures 3.658, 3.658 and 11.391 Å, with angles of 90.00, 90.00 and 90.00 degrees. The distinct sites, in fractional coordinates, are Sm at (0.000, 0.000, 0.000), Sm at (0.000, 0.000, 0.320), Cd at (0.500, 0.500, 0.500) and Ga at (0.500, 0.500, 0.164).

The total DFT energy (no corrections) is -0.294 Ry per atom. For the total magnetization, the calculation gives 0.0 Bohr magnetons per cell. The calculated formation energy is -47 kJ per mole of atoms. The density of states at the Fermi level comes out at 0.66 states/eV per atom.


No. 12
Entry from Alexandria via LeMat-Bulk: BaBe2AlB after structural relaxation (GGA-PBE).

The space group is P4/mmm (No. 123) and the conventional cell measures 4.444, 4.444 and 6.503 Å, with angles of 90.00, 90.00 and 90.00 degrees. The distinct sites, in fractional coordinates, are Ba at (0.000, 0.000, 0.000), Be at (0.000, 0.500, 0.500), Al at (0.000, 0.000, 0.500) and B at (0.500, 0.500, 0.000).

The total DFT energy (no corrections) is -0.190 Ry per atom. For the total magnetization, the calculation gives 1.6 Bohr magnetons per cell. The energy relative to the lowest polymorph listed for this composition comes out at 680 meV/atom. The calculated formation energy is 132 kJ per mole of atoms. The density of states at the Fermi level comes out at 0.49 states/eV per atom.


total DFT energy (no corrections) of number 6 (Er4CoRu3)?
-0.514 Ry per atom


Please write out number 12 again, unchanged.
Entry from Alexandria via LeMat-Bulk: BaBe2AlB after structural relaxation (GGA-PBE).

The space group is P4/mmm (No. 123) and the conventional cell measures 4.444, 4.444 and 6.503 Å, with angles of 90.00, 90.00 and 90.00 degrees. The distinct sites, in fractional coordinates, are Ba at (0.000, 0.000, 0.000), Be at (0.000, 0.500, 0.500), Al at (0.000, 0.000, 0.500) and B at (0.500, 0.500, 0.000).

The total DFT energy (no corrections) is -0.190 Ry per atom. For the total magnetization, the calculation gives 1.6 Bohr magnetons per cell. The energy relative to the lowest polymorph listed for this composition comes out at 680 meV/atom. The calculated formation energy is 132 kJ per mole of atoms. The density of states at the Fermi level comes out at 0.49 states/eV per atom.


Look up the total DFT energy (no corrections) of the third one.
-0.490 Ry per atom